Compound: InAs2HBr
Source: the Alexandria database
Functional: PBE
Structure: relaxed

Calculated values
The total energy is -3.0449 eV/atom. The value obtained for the energy above the lowest structure with this stoichiometry is 0 meV per atom. Its density of states at the Fermi level is 5.4 states/eV/cell. As for the space-group type: P4/mmm. As for the size of the total moment: 0.00 μB/f.u.

```
InAs2HBr
1.0
4.087 0.000 0.000
0.000 4.087 0.000
0.000 0.000 6.793
In As H Br
1 2 1 1
Direct
0.000 0.000 0.000
0.000 0.500 0.500
0.500 0.000 0.500
0.500 0.500 0.500
0.500 0.500 0.000
```